Record 1
The following is a PBE calculation of TcP2WBr after structural relaxation, from Alexandria via LeMat-Bulk. Values from VASP.

```
&SYSTEM
  ibrav = 0, nat = 5, ntyp = 4
/
ATOMIC_SPECIES
Tc 98.00 Tc.upf
P 30.97 P.upf
W 183.84 W.upf
Br 79.90 Br.upf
CELL_PARAMETERS angstrom
4.667 0.000 0.000
0.000 4.667 0.000
0.000 0.000 4.551
ATOMIC_POSITIONS angstrom
Tc 0.000 0.000 0.000
P 0.000 2.333 2.276
P 2.333 0.000 2.276
W 2.333 2.333 0.000
Br 0.000 0.000 2.276
```

- ρ (Mg/m³) = 7.098
- space-group type = P4/mmm, No. 123
- density of states at the Fermi level (states/eV/atom) = 1.082
- energy relative to the elements, uncorrected (eV per atom) = 2.283
- total energy (Ry per atom) = -0.35862

***

Record 2
The following is a PBE calculation of TeP2Br8 after structural relaxation, from Alexandria via LeMat-Bulk. Values from VASP.

```
&SYSTEM
  ibrav = 0, nat = 11, ntyp = 3
/
ATOMIC_SPECIES
Te 127.60 Te.upf
P 30.97 P.upf
Br 79.90 Br.upf
CELL_PARAMETERS angstrom
5.521 -5.818 0.000
5.521 5.818 0.000
-4.386 0.000 8.758
ATOMIC_POSITIONS angstrom
Te 0.000 0.000 0.000
P -0.537 0.000 5.746
P 7.192 0.000 3.011
Br -1.379 1.759 6.888
Br 1.336 0.000 2.265
Br -1.379 -1.759 6.888
Br 1.600 0.000 6.415
Br 5.055 0.000 2.342
Br 8.035 1.759 1.869
Br 5.319 0.000 6.493
Br 8.035 -1.759 1.869
```

- ρ (Mg/m³) = 2.446
- space-group type = C2/m, No. 12
- energy relative to the elements, uncorrected (eV per atom) = -0.228
- total energy (Ry per atom) = -0.19945

***

Record 3
The following is a PBE calculation of TeP2Br after structural relaxation, from Alexandria via LeMat-Bulk. Values from VASP.

```
&SYSTEM
  ibrav = 0, nat = 4, ntyp = 3
/
ATOMIC_SPECIES
Te 127.60 Te.upf
P 30.97 P.upf
Br 79.90 Br.upf
CELL_PARAMETERS angstrom
5.852 0.000 0.000
0.000 3.312 0.000
-0.414 0.000 6.195
ATOMIC_POSITIONS angstrom
Te 0.000 0.000 0.000
P 3.554 0.000 0.982
P 4.060 1.656 2.453
Br 2.085 1.656 3.583
```

- ρ (Mg/m³) = 3.726
- space-group type = Pm, No. 6
- density of states at the Fermi level (states/eV/atom) = 0.435
- energy relative to the elements, uncorrected (eV per atom) = 0.032
- ΔE to the lowest computed polymorph (meV per atom) = 0.0
- total energy (Ry per atom) = -0.28496

***

Record 4
The following is a PBE calculation of TeP2Br after structural relaxation, from Alexandria via LeMat-Bulk. Values from VASP.

```
&SYSTEM
  ibrav = 0, nat = 8, ntyp = 3
/
ATOMIC_SPECIES
Te 127.60 Te.upf
P 30.97 P.upf
Br 79.90 Br.upf
CELL_PARAMETERS angstrom
-3.611 3.611 4.011
3.611 -3.611 4.011
3.611 3.611 -4.011
ATOMIC_POSITIONS angstrom
Te 0.000 0.000 0.000
Te 0.000 3.611 2.005
P 5.416 1.657 -1.003
P 1.657 1.805 1.003
P -1.805 1.953 3.008
P 1.953 1.805 5.013
Br 3.611 0.000 2.005
Br 0.000 0.000 4.011
```

- ρ (Mg/m³) = 4.279
- space-group type = I-42d, No. 122
- density of states at the Fermi level (states/eV/atom) = 1.203
- energy relative to the elements, uncorrected (eV per atom) = 0.646
- ΔE to the lowest computed polymorph (meV per atom) = 614.7
- total energy (Ry per atom) = -0.23978

***

How do the records compare in spin magnetization? In the order shown, they have 0.69; 2.00; 0.00; 0.00 Bohr magnetons per cell.